CdB | OQMD | GGA-PBE | optimized geometry; electronic total energy = -2.229 eV/atom; volume = 19.0 Å³/atom; ΔE to the lowest computed polymorph = 155 meV per atom; SG = F-43m
1.0
5.336 0.000 0.000
0.000 5.336 0.000
0.000 0.000 5.336
Cd B
4 4
direct
0.000 0.000 0.000
0.000 0.500 0.500
0.500 0.000 0.500
0.500 0.500 0.000
0.250 0.250 0.250
0.250 0.750 0.750
0.750 0.250 0.750
0.750 0.750 0.250